# 1
# Pr3Mg3ZnPt2

An optimized crystal structure of Pr3Mg3ZnPt2 (GGA-PBE, OQMD).

Lattice parameters (Å, degrees): 7.6578 7.6578 4.1800 90.00 90.00 120.00
Closest atoms and distances in Å follow each position.
Fractional coordinates of all 9 atoms:
Pt  0.6667  0.3333  0.5000  3 Mg 2.95, 6 Pr 3.10
Pt  0.3333  0.6667  0.5000  3 Mg 2.95, 6 Pr 3.10
Mg  0.7543  0.0000  0.5000  2 Zn 2.81, 2 Pt 2.95
Mg  0.2457  0.2458  0.5000  2 Zn 2.81, 2 Pt 2.95
Mg  0.0000  0.7542  0.5000  2 Zn 2.81, 2 Pt 2.95
Pr  0.4190  0.0000  0.0000  4 Pt 3.10, 1 Zn 3.21, 2 Mg 3.31
Pr  0.0000  0.4190  0.0000  4 Pt 3.10, 1 Zn 3.21, 2 Mg 3.31
Pr  0.5810  0.5810  0.0000  4 Pt 3.10, 1 Zn 3.21, 2 Mg 3.31
Zn  0.0000  0.0000  0.0000  6 Mg 2.81

The uncorrected energy comes out at -4.2646 eV per atom. Its symmetry is P-62m, No. 189.

***

# 2
# Pr3Mg3Zn2Pt

An optimized crystal structure of Pr3Mg3Zn2Pt (GGA-PBE, OQMD).

Lattice parameters (Å, degrees): 7.6723 7.6723 4.2884 90.00 90.00 120.00
Closest atoms and distances in Å follow each position.
Fractional coordinates of all 9 atoms:
Mg  0.2326  0.2326  0.5000  2 Pt 2.79, 2 Zn 3.02, 2 Mg 3.09
Mg  0.7674  0.0000  0.5000  2 Pt 2.79, 2 Zn 3.02, 2 Mg 3.09
Mg  0.0000  0.7674  0.5000  2 Pt 2.79, 2 Zn 3.02, 2 Mg 3.09
Pr  0.4078  0.0000  0.0000  1 Pt 3.13, 4 Zn 3.16, 6 Mg 3.46-3.49
Pr  0.5922  0.5922  0.0000  1 Pt 3.13, 4 Zn 3.16, 6 Mg 3.46-3.49
Pr  0.0000  0.4078  0.0000  1 Pt 3.13, 4 Zn 3.16, 6 Mg 3.46-3.49
Zn  0.6667  0.3333  0.5000  3 Mg 3.02, 6 Pr 3.16
Zn  0.3333  0.6667  0.5000  3 Mg 3.02, 6 Pr 3.16
Pt  0.0000  0.0000  0.0000  6 Mg 2.79

The uncorrected energy comes out at -3.5096 eV per atom. Its symmetry is P-62m, No. 189.

***

# 3
# RbPrMg

An optimized crystal structure of RbPrMg (GGA-PBE, OQMD).

Lattice parameters (Å, degrees): 5.8306 5.8306 5.8306 60.00 60.00 60.00
Closest atoms and distances in Å follow each position.
Fractional coordinates of all 3 atoms:
Rb  0.7500  0.7500  0.7500  4 Pr 3.57
Pr  0.0000  0.0000  0.0000  4 Rb 3.57, 4 Mg 3.57
Mg  0.2500  0.2500  0.2500  4 Pr 3.57

The uncorrected energy comes out at -1.5714 eV per atom. Its symmetry is F-43m, No. 216.

***

# 4
# PrMgRe

An optimized crystal structure of PrMgRe (GGA-PBE, OQMD).

Lattice parameters (Å, degrees): 4.8981 4.8981 4.8981 60.00 60.00 60.00
Closest atoms and distances in Å follow each position.
Fractional coordinates of all 3 atoms:
Mg  0.2500  0.2500  0.2500  4 Pr 3.00
Re  0.7500  0.7500  0.7500  4 Pr 3.00
Pr  0.0000  0.0000  0.0000  4 Re 3.00, 4 Mg 3.00

The uncorrected energy comes out at -4.7952 eV per atom. Its symmetry is F-43m, No. 216.

***

# 5
# Pr2MgS3

An optimized crystal structure of Pr2MgS3 (GGA-PBE, OQMD).

Lattice parameters (Å, degrees): 3.9416 3.9416 9.9674 90.00 90.00 120.00
Closest atoms and distances in Å follow each position.
Fractional coordinates of all 6 atoms:
Mg  0.0000  0.0000  0.5000  6 S 2.68
S  0.3333  0.6667  0.6413  3 Mg 2.68, 3 Pr 2.97
S  0.0000  0.0000  0.0000  6 Pr 2.82
S  0.6667  0.3333  0.3587  3 Mg 2.68, 3 Pr 2.97
Pr  0.3333  0.6667  0.1668  6 S 2.82-2.97
Pr  0.6667  0.3333  0.8332  6 S 2.82-2.97

The uncorrected energy comes out at -5.6820 eV per atom. Its symmetry is P-3m1, No. 164.

***

# 6
# PrMgS2

An optimized crystal structure of PrMgS2 (GGA-PBE, OQMD).

Lattice parameters (Å, degrees): 3.9840 3.9840 5.6867 90.00 90.00 90.00
Closest atoms and distances in Å follow each position.
Fractional coordinates of all 4 atoms:
S  0.5000  0.5000  0.5000  4 Mg 2.82, 2 Pr 2.84
S  0.0000  0.0000  0.0000  4 Pr 2.82, 2 Mg 2.84
Mg  0.0000  0.0000  0.5000  6 S 2.82-2.84
Pr  0.5000  0.5000  0.0000  6 S 2.82-2.84

The uncorrected energy comes out at -5.1774 eV per atom. Its symmetry is P4/mmm, No. 123.

***

# 7
# PrMgTlS3

An optimized crystal structure of PrMgTlS3 (GGA-PBE, OQMD).

Lattice parameters (Å, degrees): 7.3793 7.3793 11.3062 90.00 90.00 146.88
Closest atoms and distances in Å follow each position.
Fractional coordinates of all 12 atoms:
S  0.3751  0.6249  0.0701  1 Mg 2.41
S  0.6249  0.3751  0.5701  1 Mg 2.41
S  0.6249  0.3751  0.9299  1 Mg 2.41
S  0.0610  0.9390  0.2500  2 Mg 2.49
S  0.9390  0.0610  0.7500  2 Mg 2.49
S  0.3751  0.6249  0.4299  1 Mg 2.41
Pr  0.0000  0.0000  0.5000  6 S 2.86-2.96
Pr  0.0000  0.0000  0.0000  6 S 2.86-2.96
Tl  0.2476  0.7524  0.7500  6 S 3.40-3.43, 2 Mg 3.68
Tl  0.7524  0.2476  0.2500  6 S 3.40-3.43, 2 Mg 3.68
Mg  0.5338  0.4662  0.7500  4 S 2.41-2.49
Mg  0.4662  0.5338  0.2500  4 S 2.41-2.49

The calculation puts the excess energy over the best structure of this formula in the dataset at 0.04 eV/f.u. Its symmetry is Cmcm, No. 63.

***

# 8
# PrMgTlS3

An optimized crystal structure of PrMgTlS3 (GGA-PBE, OQMD).

Lattice parameters (Å, degrees): 11.3462 4.2096 13.8074 90.00 90.00 90.00
Closest atoms and distances in Å follow each position.
Fractional coordinates of all 24 atoms:
Pr  0.5152  0.2500  0.2230  6 S 2.83-3.01
Pr  0.0152  0.2500  0.2770  6 S 2.83-3.01
Pr  0.4848  0.7500  0.7770  6 S 2.83-3.01
Pr  0.9848  0.7500  0.7230  6 S 2.83-3.01
Mg  0.7313  0.2500  0.7110  4 S 2.41-2.50
Mg  0.2313  0.2500  0.7890  4 S 2.41-2.50
Mg  0.7687  0.7500  0.2110  4 S 2.41-2.50
Mg  0.2687  0.7500  0.2890  4 S 2.41-2.50
S  0.7406  0.7500  0.8080  2 Mg 2.50
S  0.1001  0.7500  0.3946  1 Mg 2.41
S  0.2406  0.7500  0.6920  2 Mg 2.50
S  0.3999  0.2500  0.8946  1 Mg 2.41
S  0.5367  0.2500  0.6393  1 Mg 2.42
S  0.2594  0.2500  0.1920  2 Mg 2.50
S  0.4633  0.7500  0.3607  1 Mg 2.42
S  0.6001  0.7500  0.1054  1 Mg 2.41
S  0.0367  0.2500  0.8607  1 Mg 2.42
S  0.7594  0.2500  0.3080  2 Mg 2.50
S  0.9633  0.7500  0.1393  1 Mg 2.42
S  0.8999  0.2500  0.6054  1 Mg 2.41
Tl  0.3074  0.2500  0.5067  7 S 3.18-3.52
Tl  0.8074  0.2500  0.9933  7 S 3.18-3.52
Tl  0.6926  0.7500  0.4933  7 S 3.18-3.52
Tl  0.1926  0.7500  0.0067  7 S 3.18-3.52

The calculation puts the excess energy over the best structure of this formula in the dataset at 0.00 eV/f.u. Its symmetry is Pnma, No. 62.

***

> What is the formula in the sixth record?

PrMgS2